(i)
Computed, not measured: an optimized crystal structure of Ca2ScPd2 at the GGA-PBE level of DFT.

Values from the calculation:
Its total moment is 0.000 μB per cell.

Lattice parameters (Å, degrees): 7.2638 7.2638 4.4594 90.00 90.00 90.00
Space group P4/mbm (No. 127)
Symmetry-distinct sites (fractional):
Ca1 0.1680 0.3320 0.0000
Sc1 0.0000 0.0000 0.5000
Pd1 0.1361 0.6361 0.5000

---

(ii)
Computed, not measured: an optimized crystal structure of Ca2ScPd2 at the GGA-PBE level of DFT.

Values from the calculation:
Its total moment is 0.000 μB per cell.

Lattice parameters (Å, degrees): 8.3793 8.3793 3.1961 90.00 90.00 90.00
Space group P4/mbm (No. 127)
Symmetry-distinct sites (fractional):
Ca1 0.1356 0.3644 0.0000
Sc1 0.0000 0.0000 0.0000
Pd1 0.1674 0.6674 0.5000

---

(iii)
Computed, not measured: an optimized crystal structure of Ca2ScPd2 at the GGA-PBE level of DFT.

Values from the calculation:
Its total moment is 0.000 μB per cell.

Lattice parameters (Å, degrees): 4.3408 4.3408 12.8533 90.00 90.00 90.00
Space group I4/mmm (No. 139)
Symmetry-distinct sites (fractional):
Ca1 0.0000 0.5000 0.2500
Sc1 0.0000 0.0000 0.0000
Pd1 0.0000 0.0000 0.4003

---

Relative energies, in kJ/mol of atoms, with the most stable structure set to zero: (i) 0.0; (ii) 26.2; (iii) 37.0.

---

(i)
Computed, not measured: an optimized crystal structure of CaScPd4 at the GGA-PBE level of DFT.

Values from the calculation:
Its total moment is 0.000 μB per cell.

Lattice parameters (Å, degrees): 7.6117 7.6117 7.6117 90.00 90.00 90.00
Space group F-43m (No. 216)
Symmetry-distinct sites (fractional):
Ca1 0.0000 0.0000 0.0000
Sc1 0.2500 0.2500 0.7500
Pd1 0.1248 0.1248 0.3752

---

(ii)
Computed, not measured: an optimized crystal structure of CaScPd4 at the GGA-PBE level of DFT.

Values from the calculation:
Its total moment is 0.000 μB per cell.

Lattice parameters (Å, degrees): 9.8016 3.2200 7.4701 90.00 112.18 90.00
Space group C2/m (No. 12)
Symmetry-distinct sites (fractional):
Ca1 0.0000 0.0000 0.0000
Sc1 0.0000 0.0000 0.5000
Pd1 0.1581 0.5000 0.3517
Pd2 0.1708 0.5000 0.8112

---

Relative energies, in kJ/mol of atoms, with the most stable structure set to zero: (i) 0.0; (ii) 2.7.